(1)
First-principles (PBE-GGA) data for an optimized crystal structure of BeRe4Te, as listed in Alexandria via LeMat-Bulk.

Lattice parameters (Å, degrees): 5.2562 5.2562 5.2562 60.00 60.00 60.00
Fractional coordinates of all 6 atoms:
Be: 0.0000 0.0000 0.0000
Re: 0.1246 0.6251 0.6251
Re: 0.6251 0.1246 0.6251
Re: 0.6251 0.6251 0.1246
Re: 0.6251 0.6251 0.6251
Te: 0.2500 0.2500 0.2500

Symmetry   F-43m
Total DFT energy (no corrections)   -51.303 eV for the cell shown

---

(2)
First-principles (PBE-GGA) data for an optimized crystal structure of Tb8Mg2Ir, as listed in Alexandria via LeMat-Bulk.

Lattice parameters (Å, degrees): 9.2122 9.2122 7.0632 110.10 110.10 34.45
Fractional coordinates of all 11 atoms:
Tb: 0.0151 0.0151 0.2811
Tb: 0.1949 0.1949 0.7622
Tb: 0.3532 0.3532 0.5676
Tb: 0.4012 0.4012 0.0906
Tb: 0.5988 0.5988 0.9094
Tb: 0.6468 0.6468 0.4324
Tb: 0.8051 0.8051 0.2378
Tb: 0.9849 0.9849 0.7189
Mg: 0.1824 0.1824 0.1947
Mg: 0.8176 0.8176 0.8053
Ir: 0.5000 0.5000 0.5000

Calculated formation energy   -0.153 eV/atom
Symmetry   C2/m
Total DFT energy (no corrections)   -50.775 eV for the cell shown

---

(3)
First-principles (PBE-GGA) data for an optimized crystal structure of KTbAs2, as listed in Alexandria via LeMat-Bulk.

Lattice parameters (Å, degrees): 7.8313 7.8313 7.8313 32.65 32.65 32.65
Fractional coordinates of all 4 atoms:
K: 0.0000 0.0000 0.0000
Tb: 0.5000 0.5000 0.5000
As: 0.2288 0.2288 0.2288
As: 0.7712 0.7712 0.7712

Calculated formation energy   -0.624 eV/atom
Symmetry   R-3m
Total DFT energy (no corrections)   -17.522 eV for the cell shown

---

Q: Which formula does entry 2 have?
A: Tb8Mg2Ir